Entry 1:
First-principles (PBE-GGA) data for a geometry-optimized NpIrRh structure, as listed in the Alexandria database.

a = 5.291 Å, b = 5.342 Å, c = 7.548 Å
α = 90.00°, β = 90.00°, γ = 90.00°
Positions (direct):
Np 0.000 0.250 0.126
Np 0.000 0.750 0.874
Np 0.500 0.250 0.374
Np 0.500 0.750 0.626
Ir 0.000 0.000 0.500
Ir 0.000 0.500 0.500
Ir 0.500 0.000 0.000
Ir 0.500 0.500 0.000
Rh 0.250 0.250 0.750
Rh 0.250 0.750 0.250
Rh 0.750 0.250 0.750
Rh 0.750 0.750 0.250

Total magnetic moment in μB/f.u.: 3.51
Energy of formation from the pure elements in eV per atom: -0.406
SG: Imma (74)
VASP energy in eV/atom: -10.124

***

Entry 2:
First-principles (PBE-GGA) data for a geometry-optimized Np2Ir3Rh3 structure, as listed in the Alexandria database.

a = 4.035 Å, b = 4.043 Å, c = 8.064 Å
α = 90.00°, β = 90.00°, γ = 90.00°
Positions (direct):
Np 0.000 0.000 0.249
Np 0.000 0.000 0.751
Ir 0.000 0.500 0.500
Ir 0.500 0.000 0.000
Ir 0.500 0.000 0.500
Rh 0.000 0.500 0.000
Rh 0.500 0.500 0.251
Rh 0.500 0.500 0.749

Total magnetic moment in μB/f.u.: 3.36
Energy of formation from the pure elements in eV per atom: -0.394
SG: Pmmm (47)
VASP energy in eV/atom: -9.709

***

Entry 3:
First-principles (PBE-GGA) data for a geometry-optimized Np2IrRh structure, as listed in the Alexandria database.

a = 3.623 Å, b = 3.623 Å, c = 5.972 Å
α = 90.00°, β = 90.00°, γ = 90.00°
Positions (direct):
Np 0.000 0.000 0.249
Np 0.000 0.000 0.751
Ir 0.500 0.500 0.000
Rh 0.500 0.500 0.500

Total magnetic moment in μB/f.u.: 7.45
Energy of formation from the pure elements in eV per atom: -0.220
SG: P4/mmm (123)
VASP energy in eV/atom: -10.743

***

Entry 4:
First-principles (PBE-GGA) data for a geometry-optimized NpIrRh2 structure, as listed in the Alexandria database.

a = 4.670 Å, b = 4.670 Å, c = 10.803 Å
α = 90.00°, β = 90.00°, γ = 120.00°
Positions (direct):
Np 0.000 0.000 0.000
Np 0.333 0.667 0.667
Np 0.667 0.333 0.333
Ir 0.000 0.000 0.500
Ir 0.333 0.667 0.167
Ir 0.667 0.333 0.833
Rh 0.000 0.000 0.231
Rh 0.000 0.000 0.769
Rh 0.333 0.667 0.436
Rh 0.333 0.667 0.897
Rh 0.667 0.333 0.103
Rh 0.667 0.333 0.564

Total magnetic moment in μB/f.u.: 1.79
Energy of formation from the pure elements in eV per atom: -0.144
SG: R-3m (166)
VASP energy in eV/atom: -9.270

***

Entry 5:
First-principles (PBE-GGA) data for a geometry-optimized NpIrRh structure, as listed in the Alexandria database.

a = 3.465 Å, b = 3.465 Å, c = 8.926 Å
α = 90.00°, β = 90.00°, γ = 90.00°
Positions (direct):
Np 0.000 0.000 0.000
Np 0.500 0.500 0.500
Ir 0.000 0.000 0.344
Ir 0.500 0.500 0.844
Rh 0.000 0.000 0.668
Rh 0.500 0.500 0.168

Total magnetic moment in μB/f.u.: 2.54
Energy of formation from the pure elements in eV per atom: -0.122
SG: I4mm (107)
VASP energy in eV/atom: -9.840

***

Entry 6:
First-principles (PBE-GGA) data for a geometry-optimized Np2IrRh structure, as listed in the Alexandria database.

a = 4.816 Å, b = 4.816 Å, c = 3.424 Å
α = 90.00°, β = 90.00°, γ = 90.00°
Positions (direct):
Np 0.000 0.500 0.000
Np 0.500 0.000 0.000
Ir 0.000 0.000 0.500
Rh 0.500 0.500 0.500

Total magnetic moment in μB/f.u.: 7.17
Energy of formation from the pure elements in eV per atom: -0.234
SG: P4/mmm (123)
VASP energy in eV/atom: -10.757

***

Entry 7:
First-principles (PBE-GGA) data for a geometry-optimized NpIrRh3 structure, as listed in the Alexandria database.

a = 6.763 Å, b = 6.763 Å, c = 6.763 Å
α = 131.89°, β = 80.93°, γ = 119.34°
Positions (direct):
Np 0.320 0.070 0.250
Np 0.680 0.930 0.750
Ir 0.000 0.500 0.500
Ir 0.500 0.500 0.000
Rh 0.130 0.000 0.630
Rh 0.130 0.500 0.130
Rh 0.316 0.566 0.750
Rh 0.684 0.434 0.250
Rh 0.870 0.000 0.370
Rh 0.870 0.500 0.870

Total magnetic moment in μB/f.u.: 2.43
Energy of formation from the pure elements in eV per atom: 0.200
SG: Imma (74)
VASP energy in eV/atom: -8.572

***

Entry 8:
First-principles (PBE-GGA) data for a geometry-optimized NpIrRh structure, as listed in the Alexandria database.

a = 4.139 Å, b = 4.139 Å, c = 6.396 Å
α = 90.00°, β = 90.00°, γ = 90.00°
Positions (direct):
Np 0.250 0.250 0.179
Np 0.750 0.750 0.821
Ir 0.250 0.750 0.500
Ir 0.750 0.250 0.500
Rh 0.250 0.250 0.790
Rh 0.750 0.750 0.210

Total magnetic moment in μB/f.u.: 2.81
Energy of formation from the pure elements in eV per atom: -0.234
SG: P4/nmm (129)
VASP energy in eV/atom: -9.952

***

Entry 9:
First-principles (PBE-GGA) data for a geometry-optimized NpIrRh structure, as listed in the Alexandria database.

a = 4.572 Å, b = 4.572 Å, c = 2.881 Å
α = 90.00°, β = 90.00°, γ = 120.00°
Positions (direct):
Np 0.000 0.000 0.000
Ir 0.333 0.667 0.696
Rh 0.667 0.333 0.268

Total magnetic moment in μB/f.u.: 2.77
Energy of formation from the pure elements in eV per atom: -0.125
SG: P3m1 (156)
VASP energy in eV/atom: -9.843

***

Entry 10:
First-principles (PBE-GGA) data for a geometry-optimized Np2IrRh structure, as listed in the Alexandria database.

a = 6.433 Å, b = 6.433 Å, c = 6.433 Å
α = 90.00°, β = 90.00°, γ = 90.00°
Positions (direct):
Np 0.000 0.000 0.000
Np 0.000 0.500 0.500
Np 0.250 0.250 0.250
Np 0.250 0.750 0.750
Np 0.500 0.000 0.500
Np 0.500 0.500 0.000
Np 0.750 0.250 0.750
Np 0.750 0.750 0.250
Ir 0.250 0.250 0.750
Ir 0.250 0.750 0.250
Ir 0.750 0.250 0.250
Ir 0.750 0.750 0.750
Rh 0.000 0.000 0.500
Rh 0.000 0.500 0.000
Rh 0.500 0.000 0.000
Rh 0.500 0.500 0.500

Total magnetic moment in μB/f.u.: 0.00
Energy of formation from the pure elements in eV per atom: -0.391
SG: F-43m (216)
VASP energy in eV/atom: -10.914

***

Entry 11:
First-principles (PBE-GGA) data for a geometry-optimized NpIrRh3 structure, as listed in the Alexandria database.

a = 4.174 Å, b = 6.359 Å, c = 6.310 Å
α = 90.00°, β = 90.00°, γ = 90.00°
Positions (direct):
Np 0.250 0.250 0.246
Np 0.750 0.750 0.754
Ir 0.250 0.750 0.052
Ir 0.750 0.250 0.948
Rh 0.250 0.048 0.755
Rh 0.250 0.452 0.755
Rh 0.250 0.750 0.456
Rh 0.750 0.250 0.544
Rh 0.750 0.548 0.245
Rh 0.750 0.952 0.245

Total magnetic moment in μB/f.u.: 2.39
Energy of formation from the pure elements in eV per atom: -0.161
SG: Pmmn (59)
VASP energy in eV/atom: -8.932

***

Entry 12:
First-principles (PBE-GGA) data for a geometry-optimized Np2IrRh structure, as listed in the Alexandria database.

a = 2.842 Å, b = 2.842 Å, c = 30.951 Å
α = 90.00°, β = 90.00°, γ = 120.00°
Positions (direct):
Np 0.000 0.000 0.085
Np 0.000 0.000 0.915
Np 0.333 0.667 0.582
Np 0.333 0.667 0.752
Np 0.667 0.333 0.248
Np 0.667 0.333 0.418
Ir 0.000 0.000 0.500
Ir 0.333 0.667 0.167
Ir 0.667 0.333 0.833
Rh 0.000 0.000 0.000
Rh 0.333 0.667 0.667
Rh 0.667 0.333 0.333

Total magnetic moment in μB/f.u.: 6.13
Energy of formation from the pure elements in eV per atom: 0.088
SG: R-3m (166)
VASP energy in eV/atom: -10.435

***

Entry 13:
First-principles (PBE-GGA) data for a geometry-optimized NpIrRh2 structure, as listed in the Alexandria database.

a = 4.027 Å, b = 4.027 Å, c = 4.043 Å
α = 90.00°, β = 90.00°, γ = 90.00°
Positions (direct):
Np 0.000 0.000 0.000
Ir 0.500 0.500 0.000
Rh 0.000 0.500 0.500
Rh 0.500 0.000 0.500

Total magnetic moment in μB/f.u.: 1.50
Energy of formation from the pure elements in eV per atom: -0.400
SG: P4/mmm (123)
VASP energy in eV/atom: -9.526

***

Entry 14:
First-principles (PBE-GGA) data for a geometry-optimized NpIrRh6 structure, as listed in the Alexandria database.

a = 5.245 Å, b = 5.245 Å, c = 5.245 Å
α = 84.71°, β = 84.71°, γ = 84.71°
Positions (direct):
Np 0.000 0.000 0.000
Ir 0.500 0.500 0.500
Rh 0.163 0.163 0.547
Rh 0.163 0.547 0.163
Rh 0.453 0.837 0.837
Rh 0.547 0.163 0.163
Rh 0.837 0.453 0.837
Rh 0.837 0.837 0.453

Total magnetic moment in μB/f.u.: 0.79
Energy of formation from the pure elements in eV per atom: 0.465
SG: R-3m (166)
VASP energy in eV/atom: -7.774

***

Entry 15:
First-principles (PBE-GGA) data for a geometry-optimized NpScIrRh structure, as listed in the Alexandria database.

a = 6.665 Å, b = 6.665 Å, c = 6.665 Å
α = 90.00°, β = 90.00°, γ = 90.00°
Positions (direct):
Np 0.000 0.000 0.000
Np 0.000 0.500 0.500
Np 0.500 0.000 0.500
Np 0.500 0.500 0.000
Sc 0.000 0.000 0.500
Sc 0.000 0.500 0.000
Sc 0.500 0.000 0.000
Sc 0.500 0.500 0.500
Ir 0.250 0.250 0.750
Ir 0.250 0.750 0.250
Ir 0.750 0.250 0.250
Ir 0.750 0.750 0.750
Rh 0.250 0.250 0.250
Rh 0.250 0.750 0.750
Rh 0.750 0.250 0.750
Rh 0.750 0.750 0.250

Total magnetic moment in μB/f.u.: 3.51
Energy of formation from the pure elements in eV per atom: -0.582
SG: F-43m (216)
VASP energy in eV/atom: -9.453

***

Entry 16:
First-principles (PBE-GGA) data for a geometry-optimized Np2Si6IrRh structure, as listed in the Alexandria database.

a = 12.871 Å, b = 12.871 Å, c = 12.871 Å
α = 26.14°, β = 26.14°, γ = 26.14°
Positions (direct):
Np 0.127 0.127 0.127
Np 0.277 0.277 0.277
Np 0.723 0.723 0.723
Np 0.873 0.873 0.873
Si 0.065 0.662 0.662
Si 0.191 0.191 0.778
Si 0.191 0.778 0.191
Si 0.222 0.809 0.809
Si 0.338 0.338 0.935
Si 0.338 0.935 0.338
Si 0.662 0.065 0.662
Si 0.662 0.662 0.065
Si 0.778 0.191 0.191
Si 0.809 0.222 0.809
Si 0.809 0.809 0.222
Si 0.935 0.338 0.338
Ir 0.423 0.423 0.423
Ir 0.577 0.577 0.577
Rh 0.000 0.000 0.000
Rh 0.500 0.500 0.500

Total magnetic moment in μB/f.u.: 8.43
SG: R-3m (166)
Uncorrected formation energy in meV per atom: -304
VASP energy in eV/atom: -7.767

***

Entry 17:
First-principles (PBE-GGA) data for a geometry-optimized NpSi2IrRh structure, as listed in the Alexandria database.

a = 4.040 Å, b = 4.040 Å, c = 10.154 Å
α = 90.00°, β = 90.00°, γ = 90.00°
Positions (direct):
Np 0.000 0.000 0.000
Np 0.500 0.500 0.500
Si 0.000 0.000 0.380
Si 0.000 0.000 0.620
Si 0.500 0.500 0.120
Si 0.500 0.500 0.880
Ir 0.000 0.500 0.750
Ir 0.500 0.000 0.250
Rh 0.000 0.500 0.250
Rh 0.500 0.000 0.750

Total magnetic moment in μB/f.u.: 4.01
SG: I-4m2 (119)
Uncorrected formation energy in meV per atom: -766
VASP energy in eV/atom: -8.766

***

Entry 18:
First-principles (PBE-GGA) data for a geometry-optimized Np2Si4Ir3Rh structure, as listed in the Alexandria database.

a = 4.131 Å, b = 4.131 Å, c = 9.883 Å
α = 90.00°, β = 90.00°, γ = 90.00°
Positions (direct):
Np 0.000 0.500 0.241
Np 0.500 0.000 0.759
Si 0.000 0.000 0.000
Si 0.000 0.500 0.630
Si 0.500 0.000 0.370
Si 0.500 0.500 0.000
Ir 0.000 0.500 0.871
Ir 0.500 0.000 0.129
Ir 0.500 0.500 0.500
Rh 0.000 0.000 0.500

Total magnetic moment in μB/f.u.: 7.16
SG: P-4m2 (115)
Uncorrected formation energy in meV per atom: -744
VASP energy in eV/atom: -8.895

***

Entry 19:
First-principles (PBE-GGA) data for a geometry-optimized TbNpIrRh structure, as listed in the Alexandria database.

a = 6.855 Å, b = 6.855 Å, c = 6.855 Å
α = 90.00°, β = 90.00°, γ = 90.00°
Positions (direct):
Tb 0.000 0.000 0.000
Tb 0.000 0.500 0.500
Tb 0.500 0.000 0.500
Tb 0.500 0.500 0.000
Np 0.000 0.000 0.500
Np 0.000 0.500 0.000
Np 0.500 0.000 0.000
Np 0.500 0.500 0.500
Ir 0.250 0.250 0.750
Ir 0.250 0.750 0.250
Ir 0.750 0.250 0.250
Ir 0.750 0.750 0.750
Rh 0.250 0.250 0.250
Rh 0.250 0.750 0.750
Rh 0.750 0.250 0.750
Rh 0.750 0.750 0.250

Total magnetic moment in μB/f.u.: 3.48
Energy of formation from the pure elements in eV per atom: -0.504
SG: F-43m (216)
VASP energy in eV/atom: -8.950

***

Entry 20:
First-principles (PBE-GGA) data for a geometry-optimized TmNpIrRh structure, as listed in the Alexandria database.

a = 6.799 Å, b = 6.799 Å, c = 6.799 Å
α = 90.00°, β = 90.00°, γ = 90.00°
Positions (direct):
Tm 0.000 0.000 0.000
Tm 0.000 0.500 0.500
Tm 0.500 0.000 0.500
Tm 0.500 0.500 0.000
Np 0.000 0.000 0.500
Np 0.000 0.500 0.000
Np 0.500 0.000 0.000
Np 0.500 0.500 0.500
Ir 0.250 0.250 0.750
Ir 0.250 0.750 0.250
Ir 0.750 0.250 0.250
Ir 0.750 0.750 0.750
Rh 0.250 0.250 0.250
Rh 0.250 0.750 0.750
Rh 0.750 0.250 0.750
Rh 0.750 0.750 0.250

Total magnetic moment in μB/f.u.: 3.51
Energy of formation from the pure elements in eV per atom: -0.567
SG: F-43m (216)
VASP energy in eV/atom: -8.973